1.
Here is a geometry-optimized Sr2GaAu7 structure from Alexandria via LeMat-Bulk. Energies are from PBE.

Cell: 4.349 4.349 12.370 Å, 90.00 90.00 90.00°
Space group P-4m2 (No. 115)
Symmetry-distinct sites (fractional):
Sr (0.000, 0.500, 0.244) x2
Ga (0.000, 0.000, 0.500) x1
Au (0.000, 0.000, 0.000) x1
Au (0.000, 0.500, 0.637) x2
Au (0.000, 0.500, 0.854) x2
Au (0.500, 0.500, 0.000) x1
Au (0.500, 0.500, 0.500) x1

Summary:
total energy = -3.4072 eV per atom

***

2.
Here is a geometry-optimized SrGaAu3 structure from Alexandria via LeMat-Bulk. Energies are from PBE.

Cell: 4.998 4.998 4.998 Å, 90.00 90.00 90.00°
Space group Pm-3m (No. 221)
Symmetry-distinct sites (fractional):
Sr (0.000, 0.000, 0.000) x1
Ga (0.500, 0.500, 0.500) x1
Au (0.000, 0.500, 0.500) x3

Summary:
ΔE to the lowest computed polymorph = 129 meV/atom

***

3.
Here is a geometry-optimized SrGa4Au6 structure from Alexandria via LeMat-Bulk. Energies are from PBE.

Cell: 7.4970 7.4970 4.4249 Å, 90.00 90.00 120.00°
Space group P-6 (No. 174)
Symmetry-distinct sites (fractional):
Sr (0.0000, 0.0000, 0.0000) x1
Ga (0.1972, 0.7951, 0.5000) x3
Ga (0.6667, 0.3333, 0.0000) x1
Au (0.0721, 0.5313, 0.0000) x3
Au (0.3956, 0.1950, 0.5000) x3

Summary:
ΔE to the lowest computed polymorph = 0 meV/atom

***

4.
Here is a geometry-optimized SrGa4Au6 structure from Alexandria via LeMat-Bulk. Energies are from PBE.

Cell: 7.101 7.101 9.374 Å, 90.00 90.00 90.00°
Space group I-42m (No. 121)
Symmetry-distinct sites (fractional):
Sr (0.000, 0.000, 0.000) x2
Ga (0.200, 0.200, 0.335) x8
Au (0.000, 0.500, 0.000) x4
Au (0.162, 0.162, 0.617) x8

Summary:
ΔE to the lowest computed polymorph = 59 meV/atom